No. 1
An optimized crystal structure of CuAgSb2. Source: Alexandria, functional GGA-PBE. Values from VASP.

Computed properties:
Offset from the most stable computed form ... 37 meV/atom

Quantum ESPRESSO input file:
```
&SYSTEM
  ibrav = 0, nat = 4, ntyp = 3
/
ATOMIC_SPECIES
Ag 107.87 Ag.upf
Cu 63.55 Cu.upf
Sb 121.76 Sb.upf
CELL_PARAMETERS angstrom
-1.969 2.803 -3.009
-2.286 -0.380 -3.926
-6.033 -0.017 2.140
ATOMIC_POSITIONS crystal
Ag 0.511 0.511 0.460
Cu 0.247 0.247 0.275
Sb 0.983 0.983 0.074
Sb 0.758 0.758 0.691
```

---

No. 2
An optimized crystal structure of CuAgSb. Source: Alexandria, functional GGA-PBE. Values from VASP.

Computed properties:
Offset from the most stable computed form ... 138 meV/atom

Quantum ESPRESSO input file:
```
&SYSTEM
  ibrav = 0, nat = 3, ntyp = 3
/
ATOMIC_SPECIES
Ag 107.87 Ag.upf
Cu 63.55 Cu.upf
Sb 121.76 Sb.upf
CELL_PARAMETERS angstrom
4.502 0.000 0.000
2.251 3.899 0.000
2.251 1.300 3.676
ATOMIC_POSITIONS crystal
Ag 0.000 0.000 0.000
Cu 0.500 0.500 0.500
Sb 0.750 0.750 0.750
```

---

No. 3
An optimized crystal structure of CuAg2Sb. Source: Alexandria, functional GGA-PBE. Values from VASP.

Computed properties:
Offset from the most stable computed form ... 14 meV/atom

Quantum ESPRESSO input file:
```
&SYSTEM
  ibrav = 0, nat = 4, ntyp = 3
/
ATOMIC_SPECIES
Ag 107.87 Ag.upf
Cu 63.55 Cu.upf
Sb 121.76 Sb.upf
CELL_PARAMETERS angstrom
-0.136 -4.176 2.850
3.263 0.728 3.795
-3.773 2.934 -1.655
ATOMIC_POSITIONS crystal
Ag 0.000 0.000 0.000
Ag 0.250 0.750 0.500
Cu 0.500 0.500 0.000
Sb 0.750 0.250 0.500
```

---

No. 4
An optimized crystal structure of CuAgSb2. Source: Alexandria, functional GGA-PBE. Values from VASP.

Computed properties:
Offset from the most stable computed form ... 0 meV/atom

Quantum ESPRESSO input file:
```
&SYSTEM
  ibrav = 0, nat = 4, ntyp = 3
/
ATOMIC_SPECIES
Cu 63.55 Cu.upf
Ag 107.87 Ag.upf
Sb 121.76 Sb.upf
CELL_PARAMETERS angstrom
4.249 0.000 0.000
2.124 3.680 0.000
2.124 1.227 5.779
ATOMIC_POSITIONS crystal
Cu 0.664 0.664 0.008
Ag 0.503 0.503 0.491
Sb 0.072 0.072 0.783
Sb 0.261 0.261 0.218
```

---

No. 5
An optimized crystal structure of CuAgSb2. Source: Alexandria, functional GGA-PBE. Values from VASP.

Computed properties:
Offset from the most stable computed form ... 249 meV/atom

Quantum ESPRESSO input file:
```
&SYSTEM
  ibrav = 0, nat = 4, ntyp = 3
/
ATOMIC_SPECIES
Ag 107.87 Ag.upf
Cu 63.55 Cu.upf
Sb 121.76 Sb.upf
CELL_PARAMETERS angstrom
5.001 0.000 0.000
2.501 4.331 0.000
2.501 1.444 4.084
ATOMIC_POSITIONS crystal
Ag 0.500 0.500 0.500
Cu 0.750 0.750 0.750
Sb 0.000 0.000 0.000
Sb 0.250 0.250 0.250
```

---

No. 6
An optimized crystal structure of CuAg2Sb. Source: Alexandria, functional GGA-PBE. Values from VASP.

Computed properties:
Offset from the most stable computed form ... 42 meV/atom

Quantum ESPRESSO input file:
```
&SYSTEM
  ibrav = 0, nat = 4, ntyp = 3
/
ATOMIC_SPECIES
Ag 107.87 Ag.upf
Cu 63.55 Cu.upf
Sb 121.76 Sb.upf
CELL_PARAMETERS angstrom
-0.827 5.051 -0.239
-1.837 3.757 -2.961
-4.786 0.546 1.515
ATOMIC_POSITIONS crystal
Ag 0.994 0.994 0.026
Ag 0.231 0.231 0.254
Cu 0.503 0.503 0.499
Sb 0.772 0.772 0.721
```

---

No. 7
An optimized crystal structure of CuAg2Sb2. Source: Alexandria, functional GGA-PBE. Values from VASP.

Computed properties:
Offset from the most stable computed form ... 332 meV/atom

Quantum ESPRESSO input file:
```
&SYSTEM
  ibrav = 0, nat = 5, ntyp = 3
/
ATOMIC_SPECIES
Cu 63.55 Cu.upf
Ag 107.87 Ag.upf
Sb 121.76 Sb.upf
CELL_PARAMETERS angstrom
-2.425 -7.077 1.479
-5.969 -2.934 3.730
2.629 5.021 -5.102
ATOMIC_POSITIONS crystal
Cu 0.000 0.000 0.000
Ag 0.594 0.594 0.000
Ag 0.406 0.406 0.000
Sb 0.250 0.750 0.500
Sb 0.750 0.250 0.500
```

---

No. 8
An optimized crystal structure of CuAg2Sb. Source: Alexandria, functional GGA-PBE. Values from VASP.

Computed properties:
Offset from the most stable computed form ... 46 meV/atom

Quantum ESPRESSO input file:
```
&SYSTEM
  ibrav = 0, nat = 4, ntyp = 3
/
ATOMIC_SPECIES
Ag 107.87 Ag.upf
Cu 63.55 Cu.upf
Sb 121.76 Sb.upf
CELL_PARAMETERS angstrom
3.257 0.000 0.000
0.000 3.257 0.000
0.000 0.000 7.138
ATOMIC_POSITIONS crystal
Ag 0.000 0.000 0.046
Ag 0.000 0.000 0.454
Cu 0.500 0.500 0.250
Sb 0.500 0.500 0.750
```

---

No. 9
An optimized crystal structure of Cu2AgSb2. Source: Alexandria, functional GGA-PBE. Values from VASP.

Computed properties:
Offset from the most stable computed form ... 90 meV/atom

Quantum ESPRESSO input file:
```
&SYSTEM
  ibrav = 0, nat = 10, ntyp = 3
/
ATOMIC_SPECIES
Sb 121.76 Sb.upf
Cu 63.55 Cu.upf
Ag 107.87 Ag.upf
CELL_PARAMETERS angstrom
7.770 0.000 0.000
0.000 7.770 0.000
0.000 0.000 3.346
ATOMIC_POSITIONS crystal
Sb 0.319 0.819 0.000
Sb 0.819 0.681 0.000
Sb 0.681 0.181 0.000
Sb 0.181 0.319 0.000
Cu 0.115 0.615 0.500
Cu 0.615 0.885 0.500
Cu 0.885 0.385 0.500
Cu 0.385 0.115 0.500
Ag 0.000 0.000 0.000
Ag 0.500 0.500 0.000
```

---

No. 10
An optimized crystal structure of CuAgSb2. Source: Alexandria, functional GGA-PBE. Values from VASP.

Computed properties:
Offset from the most stable computed form ... 129 meV/atom

Quantum ESPRESSO input file:
```
&SYSTEM
  ibrav = 0, nat = 4, ntyp = 3
/
ATOMIC_SPECIES
Ag 107.87 Ag.upf
Cu 63.55 Cu.upf
Sb 121.76 Sb.upf
CELL_PARAMETERS angstrom
-4.363 1.322 0.708
0.529 -0.681 4.532
1.218 3.790 0.428
ATOMIC_POSITIONS crystal
Ag 0.500 0.000 0.500
Cu 0.000 0.500 0.500
Sb 0.000 0.000 0.000
Sb 0.500 0.500 0.000
```

---

No. 11
An optimized crystal structure of CuAgSb. Source: Alexandria, functional GGA-PBE. Values from VASP.

Computed properties:
Offset from the most stable computed form ... 16 meV/atom

Quantum ESPRESSO input file:
```
&SYSTEM
  ibrav = 0, nat = 6, ntyp = 3
/
ATOMIC_SPECIES
Sb 121.76 Sb.upf
Cu 63.55 Cu.upf
Ag 107.87 Ag.upf
CELL_PARAMETERS angstrom
-3.472 2.489 0.043
-1.214 -1.623 -3.762
-2.093 -6.644 1.134
ATOMIC_POSITIONS crystal
Sb 0.919 0.128 0.317
Sb 0.202 0.851 0.875
Cu 0.561 0.990 0.596
Cu 0.060 0.489 0.596
Ag 0.697 0.356 0.865
Ag 0.423 0.623 0.326
```

---

No. 12
An optimized crystal structure of Cu2AgSb2. Source: Alexandria, functional GGA-PBE. Values from VASP.

Computed properties:
Offset from the most stable computed form ... 169 meV/atom

Quantum ESPRESSO input file:
```
&SYSTEM
  ibrav = 0, nat = 5, ntyp = 3
/
ATOMIC_SPECIES
Sb 121.76 Sb.upf
Cu 63.55 Cu.upf
Ag 107.87 Ag.upf
CELL_PARAMETERS angstrom
-0.920 5.012 1.084
-2.115 0.632 -4.719
-4.944 1.888 -0.407
ATOMIC_POSITIONS crystal
Sb 0.750 0.250 0.500
Sb 0.250 0.750 0.500
Cu 0.344 0.344 0.311
Cu 0.656 0.656 0.689
Ag 0.000 0.000 0.000
```

---

No. 13
An optimized crystal structure of Cu2AgSb2. Source: Alexandria, functional GGA-PBE. Values from VASP.

Computed properties:
Offset from the most stable computed form ... 5 meV/atom

Quantum ESPRESSO input file:
```
&SYSTEM
  ibrav = 0, nat = 5, ntyp = 3
/
ATOMIC_SPECIES
Sb 121.76 Sb.upf
Cu 63.55 Cu.upf
Ag 107.87 Ag.upf
CELL_PARAMETERS angstrom
-2.348 2.118 1.462
-2.556 -1.687 -1.661
-3.171 -5.005 6.307
ATOMIC_POSITIONS crystal
Sb 0.379 0.379 0.241
Sb 0.621 0.621 0.759
Cu 0.750 0.250 0.500
Cu 0.250 0.750 0.500
Ag 0.000 0.000 0.000
```

---

Short version: Fermi-level density of states = 0.436 0.604 0.208 0.443 0.312 0.162 0.236 0.287 0.421 0.329 0.423 0.460 0.361 states/eV/atom, in the order given.
Short version: calculated density = 7775 7547 8996 7626 7789 8816 7097 8794 7866 8087 8364 7660 7891 kg/m3, in the order given.
Short version: ΔE_f (raw) = 0.162 0.182 0.119 0.125 0.373 0.147 0.539 0.151 0.242 0.253 0.060 0.322 0.157 eV per atom, in the order given.